This record from the Alexandria database describes PmHoCdRh after structural relaxation. The functional is PBE.

The magnetization is 0.00 μB per cell. For the volume, the calculation gives 94.4 Å³/cell. As for the space group: F-43m (216). The formation energy is -1.96 eV/f.u. The calculation puts the electronic total energy at -4.889 eV/atom.

Lattice parameters (Å, degrees): 5.111 5.111 5.111 60.00 60.00 60.00
Atoms (fractional coordinates):
Cd: 0.750 0.750 0.750
Rh: 0.250 0.250 0.250
Ho: 0.500 0.500 0.500
Pm: 0.000 0.000 0.000